# 1
Material: Ba3Cd2Ag
Method: DFT, GGA-PBE
State: optimized geometry

a b c (Å): 9.4758 9.4758 4.1723
angles (deg): 90.00 90.00 143.15
Closest atoms and distances in Å follow each position.
Element x y z (fractional)
Ba  0.0000  0.0000  0.0000  4 Ag 3.65, 4 Cd 3.75
Ba  0.3392  0.6608  0.0000  2 Ag 3.57, 6 Cd 3.64-3.66
Ba  0.6608  0.3392  0.0000  2 Ag 3.57, 6 Cd 3.64-3.66
Cd  0.1733  0.8267  0.5000  8 Ba 3.64-3.75, 2 Cd 4.07
Cd  0.8267  0.1733  0.5000  8 Ba 3.64-3.75, 2 Cd 4.07
Ag  0.5000  0.5000  0.5000  8 Ba 3.57-3.65

Properties
As for the space group: Cmmm. The density of states at the Fermi level comes out at 0.995 states/eV/atom. Its excess energy over the best structure of this formula in the dataset is 3 meV/atom. As for the total energy: -2.03 eV per atom.

***

# 2
Material: BaCd11Ag
Method: DFT, GGA-PBE
State: optimized geometry

a b c (Å): 7.8233 7.8233 7.8273
angles (deg): 98.20 98.20 135.43
Closest atoms and distances in Å follow each position.
Element x y z (fractional)
Ba  0.0000  0.0000  0.0000  18 Cd 3.64-3.91, 2 Ag 3.92
Cd  0.0000  0.0000  0.5000  2 Ag 2.97, 8 Cd 2.97-3.13
Cd  0.0000  0.5000  0.0000  10 Cd 2.97-3.20
Cd  0.0090  0.3605  0.3584  8 Cd 2.97-3.33, 1 Ag 3.10
Cd  0.2843  0.5030  0.7763  1 Ag 2.93, 8 Cd 2.97-3.26
Cd  0.3605  0.0090  0.3584  8 Cd 2.97-3.33, 1 Ag 3.10
Cd  0.4970  0.7157  0.2237  1 Ag 2.93, 8 Cd 2.97-3.26
Cd  0.5000  0.0000  0.0000  10 Cd 2.97-3.20
Cd  0.5030  0.2843  0.7763  1 Ag 2.93, 8 Cd 2.97-3.26
Cd  0.6395  0.9910  0.6416  8 Cd 2.97-3.33, 1 Ag 3.10
Cd  0.7157  0.4970  0.2237  1 Ag 2.93, 8 Cd 2.97-3.26
Cd  0.9910  0.6395  0.6416  8 Cd 2.97-3.33, 1 Ag 3.10
Ag  0.5000  0.5000  0.5000  10 Cd 2.93-3.10

Properties
As for the space group: C2/m. The density of states at the Fermi level comes out at 0.402 states/eV/atom. As for the total energy: -1.28 eV per atom.

***

# 3
Material: Ba2CdAg
Method: DFT, GGA-PBE
State: optimized geometry

a b c (Å): 8.6675 8.6675 8.6675
angles (deg): 33.39 33.39 33.39
Closest atoms and distances in Å follow each position.
Element x y z (fractional)
Ba  0.0000  0.0000  0.0000  3 Cd 3.59, 3 Ag 3.59
Ba  0.1748  0.1748  0.1748  3 Ag 3.58, 3 Cd 3.58
Cd  0.4208  0.4208  0.4208  3 Ag 2.87
Ag  0.7542  0.7542  0.7542  3 Cd 2.87

Properties
As for the space group: R3m. The density of states at the Fermi level comes out at 0.941 states/eV/atom. As for the total energy: -2.14 eV per atom.

***

# 4
Material: BaCdAg2
Method: DFT, GGA-PBE
State: optimized geometry

a b c (Å): 3.7697 3.7697 7.5061
angles (deg): 90.00 90.00 90.00
Closest atoms and distances in Å follow each position.
Element x y z (fractional)
Ba  0.0000  0.0000  0.0000  8 Ag 3.53, 2 Cd 3.75, 4 Ba 3.77
Cd  0.0000  0.0000  0.5000  8 Ag 3.03
Ag  0.5000  0.5000  0.3081  1 Ag 2.88, 4 Cd 3.03
Ag  0.5000  0.5000  0.6919  1 Ag 2.88, 4 Cd 3.03

Properties
As for the space group: P4/mmm. The density of states at the Fermi level comes out at 0.435 states/eV/atom. As for the total energy: -2.24 eV per atom.

***

Formation energy from the elements across the listed records, respectively: -0.29, -0.14, -0.24, -0.11 eV/atom.